# 1
Sm4Te5Ir: optimized geometry, PBE-GGA.

Structure (POSCAR):
```
Sm4Te5Ir
1.0
-0.2213 -2.2850 3.6537
-4.2871 -6.2026 -4.1387
9.1943 -1.4429 -2.8937
Te Sm Ir
5 4 1
direct
0.1666 0.3451 0.3333
0.8301 0.1755 0.6601
0.1699 0.8245 0.3399
0.5000 0.5000 0.0000
0.8334 0.6549 0.6667
0.6596 0.0860 0.3191
0.3404 0.9140 0.6809
0.9998 0.7659 0.9997
0.0002 0.2341 0.0003
0.5000 0.0000 0.0000
```

Computed properties:
final energy = -53.56 eV/cell
ρ = 6.9 g cm⁻³
energy relative to the elements, uncorrected = -1.011 eV/atom
crystal system = monoclinic
magnetization = 0.00 μB per formula unit
density of states at the Fermi level = 6.5 states/eV per cell

***

# 2
BeTlAs2: optimized geometry, PBE-GGA.

Structure (POSCAR):
```
BeTlAs2
1.0
-1.8492 -2.7432 4.0660
3.1430 -4.1475 -0.6301
0.3283 5.0893 1.2118
As Tl Be
2 1 1
direct
0.9669 0.9669 0.0000
0.7092 0.2092 0.5000
0.2787 0.7787 0.5000
0.5451 0.5451 0.0000
```

Computed properties:
final energy = -13.39 eV/cell
calculated formation energy = 500 meV per atom
ρ = 7.1 g cm⁻³
crystal system = orthorhombic
magnetization = 0.00 μB per formula unit
density of states at the Fermi level = 2.6 states/eV per cell

***

# 3
KMg2ICl: optimized geometry, PBE-GGA.

Structure (POSCAR):
```
KMg2ICl
1.0
5.6522 0.0000 0.0000
0.0000 7.5870 0.0000
0.0000 0.0000 5.6522
I Cl Mg K
1 1 2 1
direct
0.0000 0.0000 0.0000
0.0000 0.5000 0.0000
0.5000 0.0000 0.0000
0.0000 0.0000 0.5000
0.5000 0.5000 0.5000
```

Computed properties:
final energy = -8.74 eV/cell
ρ = 1.7 g cm⁻³
energy relative to the elements, uncorrected = -0.212 eV/atom
crystal system = tetragonal
magnetization = 0.00 μB per formula unit
density of states at the Fermi level = 5.0 states/eV per cell

***

# 4
K2Pb2S2O: optimized geometry, PBE-GGA.

Structure (POSCAR):
```
K2Pb2S2O
1.0
4.3167 -0.0012 0.0006
2.1561 7.1180 0.8696
0.0006 2.6937 6.7758
Pb K S O
2 2 2 1
direct
0.8165 0.3669 0.7632
0.1835 0.6331 0.2368
0.4688 0.0627 0.2393
0.5312 0.9373 0.7607
0.8457 0.3088 0.4244
0.1543 0.6912 0.5756
0.0000 0.0000 0.0000
```

Computed properties:
final energy = -28.73 eV/cell
ρ = 4.8 g cm⁻³
energy relative to the elements, uncorrected = -0.844 eV/atom
crystal system = monoclinic
magnetization = 0.00 μB per formula unit

***

# 5
DyIn2: optimized geometry, PBE-GGA.

Structure (POSCAR):
```
DyIn2
1.0
-0.1393 -1.1001 -3.3858
-0.5625 -3.3391 1.1080
-5.7576 3.2237 1.0640
In Dy
2 1
direct
0.3283 0.3283 0.6565
0.6717 0.6717 0.3435
0.0000 0.0000 0.0000
```

Computed properties:
final energy = -10.87 eV/cell
calculated formation energy = -264 meV per atom
ρ = 8.3 g cm⁻³
crystal system = tetragonal
magnetization = 0.00 μB per formula unit
density of states at the Fermi level = 2.8 states/eV per cell

***

# 6
CsCo3Ir: optimized geometry, PBE-GGA.

Structure (POSCAR):
```
CsCo3Ir
1.0
4.5769 0.0000 0.0000
0.0000 4.5769 0.0000
0.0000 0.0000 4.5769
Co Cs Ir
3 1 1
direct
0.5000 0.0000 0.0000
0.0000 0.5000 0.0000
0.0000 0.0000 0.5000
0.0000 0.0000 0.0000
0.5000 0.5000 0.5000
```

Computed properties:
final energy = -17.11 eV/cell
calculated formation energy = 2784 meV per atom
ρ = 8.7 g cm⁻³
crystal system = cubic
magnetization = 3.62 μB per formula unit
density of states at the Fermi level = 7.8 states/eV per cell

***

# 7
Tl2In12Hg: optimized geometry, PBE-GGA.

Structure (POSCAR):
```
Tl2In12Hg
1.0
6.7893 0.0000 0.0000
0.0000 6.7893 0.0000
0.0000 0.0000 19.1766
In Tl Hg
24 4 2
direct
0.2496 0.7496 0.0946
0.2504 0.2496 0.0946
0.0000 0.0000 0.1921
0.3314 0.8314 0.4317
0.6686 0.8314 0.5683
0.8314 0.6686 0.4317
0.7504 0.2504 0.0946
0.7496 0.7504 0.0946
0.1686 0.6686 0.5683
0.8314 0.3314 0.5683
0.2504 0.7504 0.9054
0.5000 0.5000 0.1921
0.7496 0.2496 0.9054
0.0000 0.0000 0.8079
0.2496 0.2504 0.9054
0.0000 0.0000 0.6583
0.0000 0.0000 0.3417
0.3314 0.1686 0.5683
0.6686 0.1686 0.4317
0.1686 0.3314 0.4317
0.5000 0.5000 0.3417
0.7504 0.7496 0.9054
0.5000 0.5000 0.6583
0.5000 0.5000 0.8079
0.5000 0.0000 0.7344
0.0000 0.5000 0.2656
0.0000 0.5000 0.7344
0.5000 0.0000 0.2656
0.5000 0.0000 0.0000
0.0000 0.5000 0.0000
```

Computed properties:
final energy = -74.15 eV/cell
calculated formation energy = 55 meV per atom
ρ = 7.5 g cm⁻³
crystal system = tetragonal
magnetization = 0.00 μB per formula unit
density of states at the Fermi level = 16.3 states/eV per cell

***

# 8
Tb5HoIn2: optimized geometry, PBE-GGA.

Structure (POSCAR):
```
Tb5HoIn2
1.0
-2.8680 -3.7291 -1.1450
5.1537 -2.8866 -3.5073
4.0390 -6.5952 11.3629
Tb In Ho
10 4 2
direct
0.5000 0.7501 0.6246
0.0000 0.5000 0.5000
0.0000 0.0000 0.0000
0.5000 0.2501 0.8754
0.5000 0.7499 0.1246
0.0000 0.4995 0.2493
0.5000 0.2499 0.3754
0.0000 0.5005 0.7507
0.0000 0.0005 0.7493
0.0000 0.9995 0.2507
0.5000 0.2494 0.6247
0.5000 0.2506 0.1247
0.5000 0.7494 0.8753
0.5000 0.7506 0.3753
0.0000 0.0000 0.5000
0.0000 0.5000 0.0000
```

Computed properties:
final energy = -70.73 eV/cell
calculated formation energy = -270 meV per atom
ρ = 8.6 g cm⁻³
crystal system = orthorhombic
magnetization = 0.00 μB per formula unit
density of states at the Fermi level = 21.6 states/eV per cell